No. 1
Here is crystalline Dy2ErSc3Te6 at its relaxed geometry from the Alexandria database. Energies are from PBE.

Unit cell a=9.5165 b=9.5165 c=8.5354 alpha=103.00 beta=103.00 gamma=25.79
Closest atoms and distances in Å follow each position.
Positions (direct):
Dy: 0.1682 0.1682 0.3349  6 Te 3.06-3.09
Dy: 0.8318 0.8318 0.6651  6 Te 3.06-3.09
Er: 0.5000 0.5000 0.0000  6 Te 3.04-3.05
Sc: 0.1683 0.1683 0.8322  6 Te 2.94-2.98
Sc: 0.5000 0.5000 0.5000  6 Te 2.94-2.97
Sc: 0.8317 0.8317 0.1678  6 Te 2.94-2.98
Te: 0.0032 0.0032 0.7444  3 Sc 2.97-2.98, 2 Er 3.05, 1 Dy 3.09
Te: 0.3315 0.3315 0.9259  3 Sc 2.95-2.96, 1 Er 3.04, 2 Dy 3.08
Te: 0.3374 0.3374 0.4092  3 Sc 2.94, 3 Dy 3.06
Te: 0.6626 0.6626 0.5908  3 Sc 2.94, 3 Dy 3.06
Te: 0.6685 0.6685 0.0741  3 Sc 2.95-2.96, 1 Er 3.04, 2 Dy 3.08
Te: 0.9968 0.9968 0.2556  3 Sc 2.97-2.98, 2 Er 3.05, 1 Dy 3.09

D(E_F) in states/eV/cell: 7.5
Formation energy from raw total energies in kJ/mol of atoms: -114
E in eV/f.u.: -65.7
Symmetry: C2/m, No. 12

No. 2
Here is crystalline Dy2ErScTe6 at its relaxed geometry from the Alexandria database. Energies are from PBE.

Unit cell a=8.1830 b=8.1830 c=8.1830 alpha=55.20 beta=55.20 gamma=55.20
Closest atoms and distances in Å follow each position.
Positions (direct):
Dy: 0.0000 0.0000 0.0000  6 Te 3.07-3.10
Dy: 0.4987 0.4987 0.4987  6 Te 3.05-3.10
Er: 0.3142 0.3142 0.3142  6 Te 3.03-3.08
Sc: 0.8156 0.8156 0.8156  6 Te 2.94-2.97
Te: 0.0763 0.4237 0.7167  1 Sc 2.94, 2 Dy 3.07-3.10, 1 Er 3.08
Te: 0.2079 0.9126 0.5880  1 Sc 2.97, 1 Er 3.03, 2 Dy 3.05-3.10
Te: 0.4237 0.7167 0.0763  1 Sc 2.94, 2 Dy 3.07-3.10, 1 Er 3.08
Te: 0.5880 0.2079 0.9126  1 Sc 2.97, 1 Er 3.03, 2 Dy 3.05-3.10
Te: 0.7167 0.0763 0.4237  1 Sc 2.94, 2 Dy 3.07-3.10, 1 Er 3.08
Te: 0.9126 0.5880 0.2079  1 Sc 2.97, 1 Er 3.03, 2 Dy 3.05-3.10

Formation energy from raw total energies in kJ/mol of atoms: -126
E in eV/f.u.: -52.0
Symmetry: R3, No. 146